A plane-wave DFT calculation with PBE-GGA was carried out for crystalline ReSeBr2 at its relaxed geometry.

Cell lengths 3.0167, 5.6943, 10.8407 Å; angles 90.00, 90.00, 90.00 degrees
With the nearest neighbours (Å) after each atom.
Space group Cmmm (No. 65)
Symmetry-distinct sites (fractional):
Re (0.0000, 0.0000, 0.0000) (multiplicity 2)  4 Br 2.53
Se (0.0000, 0.0000, 0.5000) (multiplicity 2)  6 Se 3.02-3.22
Br (0.0000, 0.5000, 0.1877) (multiplicity 4)  2 Re 2.53

As for the total magnetization: 0.194 μB/f.u. The calculation puts the final energy at -32.9 eV per cell.